The following is a DFT calculation (PBE) of a relaxed LaBiO2F crystal.

Calculated values
formation energy without anion corrections = -1.902 eV per atom

Lattice parameters (Å, degrees): 4.6971 4.6971 4.5474 90.00 90.00 90.00
With the nearest neighbours (Å) after each atom.
Atoms (fractional coordinates):
O 0.5000 0.0000 0.0000  2 La 2.35
Bi 0.5000 0.5000 0.5000  8 O 3.27, 4 F 3.32
O 0.0000 0.5000 0.0000  2 La 2.35
La 0.0000 0.0000 0.0000  2 F 2.27, 4 O 2.35
F 0.0000 0.0000 0.5000  2 La 2.27



The following is a DFT calculation (PBE) of a relaxed MnCuS2 crystal.

Calculated values
formation energy without anion corrections = -0.361 eV per atom

Lattice parameters (Å, degrees): 6.7933 3.2082 6.1263 89.96 81.98 89.98
With the nearest neighbours (Å) after each atom.
Atoms (fractional coordinates):
S 0.1779 0.1076 0.7009  2 Mn 2.31, 2 Cu 2.34-2.35
Mn 0.6216 0.1081 0.2836  5 S 2.19-2.29
S 0.8519 0.6079 0.1598  2 Cu 2.24-2.30, 2 Mn 2.29
Cu 0.6412 0.6067 0.9089  4 S 2.24-2.42
Cu 0.1720 0.6057 0.9805  4 S 2.29-2.35
Mn 0.4156 0.6078 0.5867  5 S 2.20-2.33
S 0.3911 0.6083 0.2319  3 Mn 2.20-2.29, 2 Cu 2.29-2.42
S 0.6538 0.1076 0.6346  3 Mn 2.19-2.33, 2 Cu 2.32



Look up the formation energy without anion corrections of the second one. -0.361 eV per atom



What is the formation energy without anion corrections in the first record? -1.902 eV per atom



formation energy without anion corrections of number 1 (LaBiO2F)? -1.902 eV per atom



What did the second record say?
The following is a DFT calculation (PBE) of a relaxed MnCuS2 crystal.

Calculated values
formation energy without anion corrections = -0.361 eV per atom

Lattice parameters (Å, degrees): 6.7933 3.2082 6.1263 89.96 81.98 89.98
With the nearest neighbours (Å) after each atom.
Atoms (fractional coordinates):
S 0.1779 0.1076 0.7009  2 Mn 2.31, 2 Cu 2.34-2.35
Mn 0.6216 0.1081 0.2836  5 S 2.19-2.29
S 0.8519 0.6079 0.1598  2 Cu 2.24-2.30, 2 Mn 2.29
Cu 0.6412 0.6067 0.9089  4 S 2.24-2.42
Cu 0.1720 0.6057 0.9805  4 S 2.29-2.35
Mn 0.4156 0.6078 0.5867  5 S 2.20-2.33
S 0.3911 0.6083 0.2319  3 Mn 2.20-2.29, 2 Cu 2.29-2.42
S 0.6538 0.1076 0.6346  3 Mn 2.19-2.33, 2 Cu 2.32